<A>
A plane-wave DFT calculation with GGA-PBE was carried out for an optimized crystal structure of SrCr2Tc.

POSCAR file:
```
SrCr2Tc
1.0
-1.092 0.549 4.736
0.101 -4.855 0.586
7.361 -1.777 4.429
Sr Tc Cr
2 2 4
Direct
0.500 0.500 0.000 Sr
0.250 0.750 0.500 Sr
0.000 0.000 0.000 Tc
0.750 0.250 0.500 Tc
0.875 0.125 0.250 Cr
0.875 0.625 0.250 Cr
0.375 0.125 0.750 Cr
0.875 0.125 0.750 Cr
```

Summary:
crystal system = tetragonal
space group = I4_1/amd, No. 141

***

<B>
A plane-wave DFT calculation with GGA-PBE was carried out for an optimized crystal structure of SrCr2Tc.

POSCAR file:
```
SrCr2Tc
1.0
9.126 -0.124 -0.073
8.585 3.098 -0.073
8.585 1.442 2.743
Cr Sr Tc
2 1 1
Direct
0.021 0.021 0.021 Cr
0.479 0.479 0.479 Cr
0.250 0.250 0.250 Sr
0.750 0.750 0.750 Tc
```

Summary:
crystal system = trigonal
space group = R-3m, No. 166

***

<C>
A plane-wave DFT calculation with GGA-PBE was carried out for an optimized crystal structure of SrCr2Tc.

POSCAR file:
```
SrCr2Tc
1.0
2.866 0.000 0.000
0.000 5.507 0.390
0.000 2.780 4.958
Cr Sr Tc
2 1 1
Direct
0.000 0.000 0.000 Cr
0.500 0.500 0.000 Cr
0.500 0.500 0.500 Sr
0.000 0.000 0.500 Tc
```

Summary:
crystal system = monoclinic
space group = P2/m, No. 10

***

<D>
A plane-wave DFT calculation with GGA-PBE was carried out for an optimized crystal structure of SrCr2Tc.

POSCAR file:
```
SrCr2Tc
1.0
-2.121 -0.881 -2.211
2.327 -1.388 -1.679
-1.152 -6.304 3.615
Cr Sr Tc
2 1 1
Direct
0.000 0.000 0.009 Cr
0.500 0.500 0.148 Cr
0.000 0.000 0.499 Sr
0.500 0.500 0.845 Tc
```

Summary:
crystal system = tetragonal
space group = P4mm, No. 99

***

Best to worst by energy: <D>, <B>, <A>, <C>.

***

<A>
A plane-wave DFT calculation with GGA-PBE was carried out for an optimized crystal structure of SrCr2Tc.

POSCAR file:
```
SrCr2Tc
1.0
-1.287 2.232 1.094
-1.899 -1.750 -1.080
-0.619 -4.311 8.071
Cr Sr Tc
2 1 1
Direct
0.000 0.000 0.952 Cr
0.000 0.000 0.548 Cr
0.500 0.500 0.250 Sr
0.500 0.500 0.750 Tc
```

Summary:
crystal system = orthorhombic
space group = Cmmm, No. 65

***

<B>
A plane-wave DFT calculation with GGA-PBE was carried out for an optimized crystal structure of SrCr2Tc.

POSCAR file:
```
SrCr2Tc
1.0
5.691 -0.117 -0.066
2.247 5.229 0.066
-3.141 -3.841 2.789
Cr Sr Tc
2 1 1
Direct
0.056 0.056 0.000 Cr
0.444 0.444 0.000 Cr
0.750 0.250 0.500 Sr
0.250 0.750 0.500 Tc
```

Summary:
crystal system = orthorhombic
space group = Immm, No. 71

***

Best to worst by energy: <B>, <A>.

***

<A>
A plane-wave DFT calculation with GGA-PBE was carried out for an optimized crystal structure of SrCrTc2.

POSCAR file:
```
SrCrTc2
1.0
5.510 -0.041 0.040
-2.616 4.850 0.040
0.449 0.746 2.672
Cr Sr Tc
1 1 2
Direct
0.500 0.000 0.500 Cr
0.000 0.500 0.500 Sr
0.000 0.000 0.000 Tc
0.500 0.500 0.000 Tc
```

Summary:
crystal system = monoclinic
space group = C2/m, No. 12

***

<B>
A plane-wave DFT calculation with GGA-PBE was carried out for an optimized crystal structure of SrCrTc2.

POSCAR file:
```
SrCrTc2
1.0
-2.209 -0.601 2.150
1.017 -4.654 -0.257
3.235 0.516 3.468
Cr Sr Tc
1 1 2
Direct
0.500 0.500 0.000 Cr
0.500 0.000 0.500 Sr
0.000 0.000 0.000 Tc
0.000 0.500 0.500 Tc
```

Summary:
crystal system = tetragonal
space group = P4/mmm, No. 123

***

Best to worst by energy: <A>, <B>.